# HoPuSc2

An optimized crystal structure of HoPuSc2 (PBE-GGA, the Alexandria database).

Output
Total moment in μB/cell: 22.99
Energy relative to the lowest polymorph listed for this composition in kcal/mol of atoms: 1.10
E_form in eV/atom: 0.14
Density of states at the Fermi level in states/eV per cell: 29.52

Cell lengths 7.517, 7.517, 7.517 Å; angles 90.00, 90.00, 90.00 degrees
Space group Fm-3m (No. 225)
Symmetry-distinct sites (fractional):
Ho  0.000  0.000  0.000 (multiplicity 4)
Pu  0.000  0.000  0.500 (multiplicity 4)
Sc  0.250  0.250  0.250 (multiplicity 8)